Rb2AgCCl6 | PBE-GGA | relaxed

abc: 6.9707 6.9707 6.9847
angles: 60.07 60.07 90.00
With the nearest neighbours (Å) after each atom.
Positions (direct):
Ag 0.0000 0.0000 0.0000  6 Cl 2.64-2.66
C 0.5000 0.5000 0.0000  6 Cl 2.29
Rb 0.7500 0.2500 0.5000  12 Cl 3.49-3.50
Rb 0.2500 0.7500 0.5000  12 Cl 3.49-3.50
Cl 0.2678 0.7322 0.0000  1 C 2.29
Cl 0.7316 0.7316 0.5368  1 C 2.29
Cl 0.2678 0.2678 0.0000  1 C 2.29
Cl 0.2684 0.2684 0.4632  1 C 2.29
Cl 0.7322 0.7322 0.0000  1 C 2.29
Cl 0.7322 0.2678 0.0000  1 C 2.29

The density of states at the Fermi level is 2.03 states/eV per cell. The calculation puts the uncorrected formation energy at -498 meV/atom. For the volume, the calculation gives 24.0 Å³ per atom.

Rb2AgCCl | PBE-GGA | relaxed

abc: 6.2291 3.9635 6.2291
angles: 90.00 90.00 90.00
With the nearest neighbours (Å) after each atom.
Positions (direct):
Rb 0.0000 0.0000 0.5000  2 C 3.11
Rb 0.5000 0.0000 0.0000  2 C 3.11
Cl 0.5000 0.5000 0.5000  8 Rb 3.69, 2 Cl 3.96
C 0.0000 0.0000 0.0000  2 Ag 1.98
Ag 0.0000 0.5000 0.0000  2 C 1.98

The density of states at the Fermi level is 1.35 states/eV per cell. The calculation puts the uncorrected formation energy at -7 meV/atom. For the volume, the calculation gives 30.8 Å³ per atom.